--- i ---
Entry from the Alexandria database: Ba2TaFe after structural relaxation (PBEsol).

Structure (CIF):
```
data_Ba2TaFe
_cell_length_a 7.633
_cell_length_b 7.633
_cell_length_c 7.633
_cell_angle_alpha 90.00
_cell_angle_beta 90.00
_cell_angle_gamma 90.00
_symmetry_space_group_name_H-M 'F m -3 m'
_symmetry_Int_Tables_number 225
_symmetry_space_group_name_Hall '-F 4 2 3'
loop_
_atom_site_label
_atom_site_type_symbol
_atom_site_fract_x
_atom_site_fract_y
_atom_site_fract_z
_atom_site_occupancy
Ba1 Ba 0.250 0.250 0.250 1
Ta1 Ta 0.000 0.000 0.000 1
Fe1 Fe 0.000 0.000 0.500 1
```

Values from the calculation:
- Fermi-level density of states (states/eV/f.u.) = 8.3

=====

--- ii ---
Entry from the Alexandria database: Ba2TaFe after structural relaxation (PBEsol).

Structure (CIF):
```
data_Ba2TaFe
_cell_length_a 4.477
_cell_length_b 4.477
_cell_length_c 10.360
_cell_angle_alpha 90.00
_cell_angle_beta 90.00
_cell_angle_gamma 90.00
_symmetry_space_group_name_H-M 'I 4/m m m'
_symmetry_Int_Tables_number 139
_symmetry_space_group_name_Hall '-I 4 2'
loop_
_atom_site_label
_atom_site_type_symbol
_atom_site_fract_x
_atom_site_fract_y
_atom_site_fract_z
_atom_site_occupancy
Ba1 Ba 0.000 0.500 0.250 1
Ta1 Ta 0.000 0.000 0.000 1
Fe1 Fe 0.000 0.000 0.500 1
```

Values from the calculation:
- Fermi-level density of states (states/eV/f.u.) = 6.5

=====

--- iii ---
Entry from the Alexandria database: Ba2TaFe after structural relaxation (PBEsol).

Structure (CIF):
```
data_Ba2TaFe
_cell_length_a 3.3312
_cell_length_b 3.3312
_cell_length_c 32.3523
_cell_angle_alpha 90.00
_cell_angle_beta 90.00
_cell_angle_gamma 120.00
_symmetry_space_group_name_H-M 'R -3 m'
_symmetry_Int_Tables_number 166
_symmetry_space_group_name_Hall '-R 3 2"'
loop_
_atom_site_label
_atom_site_type_symbol
_atom_site_fract_x
_atom_site_fract_y
_atom_site_fract_z
_atom_site_occupancy
Ba1 Ba 0.0000 0.0000 0.2458 1
Ta1 Ta 0.0000 0.0000 0.0000 1
Fe1 Fe 0.0000 0.0000 0.5000 1
```

Values from the calculation:
- Fermi-level density of states (states/eV/f.u.) = 5.7

=====

Name the most stable of them. iii.

=====

--- i ---
Entry from the Alexandria database: Ba2TaFe after structural relaxation (PBEsol).

Structure (CIF):
```
data_Ba2TaFe
_cell_length_a 4.427
_cell_length_b 4.427
_cell_length_c 5.249
_cell_angle_alpha 90.00
_cell_angle_beta 90.00
_cell_angle_gamma 90.00
_symmetry_space_group_name_H-M 'P 4/m m m'
_symmetry_Int_Tables_number 123
_symmetry_space_group_name_Hall '-P 4 2'
loop_
_atom_site_label
_atom_site_type_symbol
_atom_site_fract_x
_atom_site_fract_y
_atom_site_fract_z
_atom_site_occupancy
Ba1 Ba 0.000 0.500 0.000 1
Ta1 Ta 0.000 0.000 0.500 1
Fe1 Fe 0.500 0.500 0.500 1
```

Values from the calculation:
- Fermi-level density of states (states/eV/f.u.) = 5.8

=====

--- ii ---
Entry from the Alexandria database: Ba2TaFe after structural relaxation (PBEsol).

Structure (CIF):
```
data_Ba2TaFe
_cell_length_a 6.503
_cell_length_b 10.044
_cell_length_c 3.203
_cell_angle_alpha 90.00
_cell_angle_beta 90.00
_cell_angle_gamma 90.00
_symmetry_space_group_name_H-M 'C m m m'
_symmetry_Int_Tables_number 65
_symmetry_space_group_name_Hall '-C 2 2'
loop_
_atom_site_label
_atom_site_type_symbol
_atom_site_fract_x
_atom_site_fract_y
_atom_site_fract_z
_atom_site_occupancy
Ba1 Ba 0.250 0.250 0.000 1
Ta1 Ta 0.000 0.000 0.500 1
Fe1 Fe 0.000 0.500 0.500 1
```

Values from the calculation:
- Fermi-level density of states (states/eV/f.u.) = 5.0

=====

Name the most stable of them. ii.

=====

--- i ---
Entry from the Alexandria database: BaFeW2 after structural relaxation (PBEsol).

Structure (CIF):
```
data_BaFeW2
_cell_length_a 3.792
_cell_length_b 3.792
_cell_length_c 5.261
_cell_angle_alpha 90.00
_cell_angle_beta 90.00
_cell_angle_gamma 90.00
_symmetry_space_group_name_H-M 'P 4/m m m'
_symmetry_Int_Tables_number 123
_symmetry_space_group_name_Hall '-P 4 2'
loop_
_atom_site_label
_atom_site_type_symbol
_atom_site_fract_x
_atom_site_fract_y
_atom_site_fract_z
_atom_site_occupancy
Ba1 Ba 0.000 0.000 0.000 1
Fe1 Fe 0.500 0.500 0.000 1
W1 W 0.000 0.500 0.500 1
```

Values from the calculation:
- Fermi-level density of states (states/eV/f.u.) = 5.0

=====

--- ii ---
Entry from the Alexandria database: BaFeW2 after structural relaxation (PBEsol).

Structure (CIF):
```
data_BaFeW2
_cell_length_a 2.981
_cell_length_b 5.608
_cell_length_c 9.654
_cell_angle_alpha 90.00
_cell_angle_beta 90.00
_cell_angle_gamma 90.00
_symmetry_space_group_name_H-M 'I m m 2'
_symmetry_Int_Tables_number 44
_symmetry_space_group_name_Hall 'I 2 -2'
loop_
_atom_site_label
_atom_site_type_symbol
_atom_site_fract_x
_atom_site_fract_y
_atom_site_fract_z
_atom_site_occupancy
Ba1 Ba 0.000 0.000 0.000 1
Fe1 Fe 0.000 0.500 0.783 1
W1 W 0.000 0.000 0.488 1
W2 W 0.000 0.500 0.201 1
```

Values from the calculation:
- Fermi-level density of states (states/eV/f.u.) = 5.1

=====

Name the most stable of them. ii.